Arrangement a

# K2In2P

K2In2P after structural relaxation (PBE, the Alexandria database).

a b c (Å): 14.0759 7.1701 6.7591
angles (deg): 90.00 103.97 90.00
With the nearest neighbours (Å) after each atom.
Space group C2/c (No. 15)
One atom of each set of equivalent atoms:
K1 0.1471 0.0568 0.1378 [8 per cell]  2 P 3.32-3.37, 2 K 3.48, 1 In 3.70
In1 0.1108 0.4494 0.4777 [8 per cell]  2 P 2.73-2.95
P1 0.0000 0.2778 0.7500 [4 per cell]  4 In 2.73-2.95

=====

Arrangement b

# K2In2P

K2In2P after structural relaxation (PBE, the Alexandria database).

a b c (Å): 7.4057 7.4057 5.8617
angles (deg): 90.00 90.00 90.00
With the nearest neighbours (Å) after each atom.
Space group P4/mbm (No. 127)
One atom of each set of equivalent atoms:
K1 0.1850 0.3150 0.0000 [4 per cell]  6 In 3.46-3.80, 5 K 3.83-3.87
In1 0.1393 0.6393 0.5000 [4 per cell]  2 P 2.86, 1 In 2.92
P1 0.0000 0.0000 0.5000 [2 per cell]  4 In 2.86

=====

Q: Which of them is the most stable? A: arrangement a.

=====

Arrangement a

# KInPS2

KInPS2 after structural relaxation (PBE, the Alexandria database).

a b c (Å): 5.7616 5.7616 5.9987
angles (deg): 90.00 90.00 90.00
With the nearest neighbours (Å) after each atom.
Space group P4/mmm (No. 123)
One atom of each set of equivalent atoms:
K1 0.0000 0.0000 0.0000 [1 per cell]  4 S 2.88, 2 P 3.00
In1 0.5000 0.5000 0.5000 [1 per cell]  4 P 4.07, 8 S 4.16
P1 0.0000 0.0000 0.5000 [1 per cell]  2 K 3.00
S1 0.0000 0.5000 0.0000 [2 per cell]  2 K 2.88

=====

Arrangement b

# KInPS2

KInPS2 after structural relaxation (PBE, the Alexandria database).

a b c (Å): 5.2193 5.2193 5.1420
angles (deg): 90.00 90.00 90.00
With the nearest neighbours (Å) after each atom.
Space group P4/mmm (No. 123)
One atom of each set of equivalent atoms:
K1 0.0000 0.0000 0.0000 [1 per cell]  8 S 3.66, 4 P 3.69
In1 0.5000 0.5000 0.5000 [1 per cell]  2 P 2.57, 4 S 2.61
P1 0.5000 0.5000 0.0000 [1 per cell]  2 In 2.57
S1 0.0000 0.5000 0.5000 [2 per cell]  2 In 2.61

=====

Q: Which of them is the most stable? A: arrangement b.

=====

Arrangement a

# KInP2S

KInP2S after structural relaxation (PBE, the Alexandria database).

a b c (Å): 5.2085 5.2085 5.3392
angles (deg): 90.00 90.00 90.00
With the nearest neighbours (Å) after each atom.
Space group P4/mmm (No. 123)
One atom of each set of equivalent atoms:
K1 0.0000 0.0000 0.0000 [1 per cell]  4 S 3.68, 8 P 3.73
In1 0.5000 0.5000 0.5000 [1 per cell]  4 P 2.60, 2 S 2.67
P1 0.0000 0.5000 0.5000 [2 per cell]  2 In 2.60
S1 0.5000 0.5000 0.0000 [1 per cell]  2 In 2.67

=====

Arrangement b

# KInP2S

KInP2S after structural relaxation (PBE, the Alexandria database).

a b c (Å): 6.0321 6.0321 5.7352
angles (deg): 90.00 90.00 90.00
With the nearest neighbours (Å) after each atom.
Space group P4/mmm (No. 123)
One atom of each set of equivalent atoms:
K1 0.0000 0.0000 0.0000 [1 per cell]  2 S 2.87, 4 P 3.02
In1 0.5000 0.5000 0.5000 [1 per cell]  8 P 4.16, 4 S 4.27
P1 0.0000 0.5000 0.0000 [2 per cell]  2 K 3.02
S1 0.0000 0.0000 0.5000 [1 per cell]  2 K 2.87

=====

Q: Which of them is the most stable? A: arrangement a.

=====

Arrangement a

# KIn2SbP

KIn2SbP after structural relaxation (PBE, the Alexandria database).

a b c (Å): 5.8507 5.8507 5.4795
angles (deg): 90.00 90.00 90.00
With the nearest neighbours (Å) after each atom.
Space group P4/mmm (No. 123)
One atom of each set of equivalent atoms:
K1 0.0000 0.0000 0.0000 [1 per cell]  2 P 2.74, 4 In 2.93
In1 0.0000 0.5000 0.0000 [2 per cell]  2 K 2.93
Sb1 0.5000 0.5000 0.5000 [1 per cell]  8 In 4.01, 4 P 4.14
P1 0.0000 0.0000 0.5000 [1 per cell]  2 K 2.74

=====

Arrangement b

# KIn2SbP

KIn2SbP after structural relaxation (PBE, the Alexandria database).

a b c (Å): 5.2132 5.2132 5.7952
angles (deg): 90.00 90.00 90.00
With the nearest neighbours (Å) after each atom.
Space group P4/mmm (No. 123)
One atom of each set of equivalent atoms:
K1 0.0000 0.0000 0.0000 [1 per cell]  2 P 2.90
In1 0.0000 0.5000 0.5000 [2 per cell]  2 P 2.61
Sb1 0.5000 0.5000 0.0000 [1 per cell]  4 K 3.69, 8 In 3.90
P1 0.0000 0.0000 0.5000 [1 per cell]  4 In 2.61, 2 K 2.90

=====

Q: Which of them is the most stable? A: arrangement b.

=====

Arrangement a

# KIn2Pb2

KIn2Pb2 after structural relaxation (PBE, the Alexandria database).

a b c (Å): 5.2576 5.2576 12.4615
angles (deg): 90.00 90.00 90.00
With the nearest neighbours (Å) after each atom.
Space group I4/mmm (No. 139)
One atom of each set of equivalent atoms:
K1 0.0000 0.0000 0.0000 [2 per cell]  8 In 3.99, 8 Pb 4.08
In1 0.0000 0.0000 0.3846 [4 per cell]  1 In 2.88, 4 Pb 3.12
Pb1 0.0000 0.5000 0.2500 [4 per cell]  4 In 3.12

=====

Arrangement b

# KIn2Pb2

KIn2Pb2 after structural relaxation (PBE, the Alexandria database).

a b c (Å): 5.3000 5.3000 12.4169
angles (deg): 90.00 90.00 90.00
With the nearest neighbours (Å) after each atom.
Space group P4/nmm (No. 129, origin choice 2)
One atom of each set of equivalent atoms:
K1 0.2500 0.2500 0.2486 [2 per cell]  8 Pb 4.03-4.09, 8 In 4.03-4.07
In1 0.2500 0.2500 0.6314 [2 per cell]  5 Pb 2.97-3.11
In2 0.2500 0.7500 0.0000 [2 per cell]  4 Pb 3.10
Pb1 0.2500 0.2500 0.8704 [2 per cell]  5 In 2.97-3.10
Pb2 0.2500 0.7500 0.5000 [2 per cell]  4 In 3.11

=====

Arrangement c

# KIn2Pb2

KIn2Pb2 after structural relaxation (PBE, the Alexandria database).

a b c (Å): 9.4765 9.4765 3.6030
angles (deg): 90.00 90.00 90.00
With the nearest neighbours (Å) after each atom.
Space group P4/mbm (No. 127)
One atom of each set of equivalent atoms:
K1 0.0000 0.0000 0.0000 [2 per cell]  2 K 3.60, 4 In 3.71, 8 Pb 3.99
In1 0.1315 0.3685 0.0000 [4 per cell]  6 Pb 3.30-3.33, 3 In 3.52-3.60
Pb1 0.1593 0.6593 0.5000 [4 per cell]  6 In 3.30-3.33, 2 Pb 3.60

=====

Q: Which of them is the most stable? A: arrangement a.

=====

Arrangement a

# K2In2Pb

K2In2Pb after structural relaxation (PBE, the Alexandria database).

a b c (Å): 8.0576 8.0576 5.8418
angles (deg): 90.00 90.00 90.00
With the nearest neighbours (Å) after each atom.
Space group P4/mbm (No. 127)
One atom of each set of equivalent atoms:
K1 0.1803 0.3197 0.0000 [4 per cell]  6 In 3.63-3.87
In1 0.1300 0.6300 0.5000 [4 per cell]  1 In 2.96, 2 Pb 3.16
Pb1 0.0000 0.0000 0.5000 [2 per cell]  4 In 3.16

=====

Arrangement b

# K2In2Pb

K2In2Pb after structural relaxation (PBE, the Alexandria database).

a b c (Å): 4.7561 4.7561 16.0838
angles (deg): 90.00 90.00 90.00
With the nearest neighbours (Å) after each atom.
Space group I4/mmm (No. 139)
One atom of each set of equivalent atoms:
K1 0.0000 0.5000 0.2500 [4 per cell]  4 K 3.36, 4 In 3.53
In1 0.0000 0.0000 0.0878 [4 per cell]  1 In 2.83
Pb1 0.0000 0.0000 0.5000 [2 per cell]  8 In 3.65

=====

Arrangement c

# K2In2Pb

K2In2Pb after structural relaxation (PBE, the Alexandria database).

a b c (Å): 7.7545 10.9660 9.2721
angles (deg): 90.00 105.79 90.00
With the nearest neighbours (Å) after each atom.
Space group C2/m (No. 12)
One atom of each set of equivalent atoms:
K1 0.2289 0.1697 0.1967 [8 per cell]  2 Pb 3.60-3.72, 5 In 3.66-3.99, 1 K 3.72
In1 0.1234 0.5000 0.4074 [4 per cell]  2 In 2.90
In2 0.1895 0.0000 0.8242 [4 per cell]  1 In 2.90
Pb1 0.0000 0.1515 0.5000 [4 per cell]  4 In 3.27-3.40, 1 Pb 3.32, 2 K 3.60

=====

Q: Which of them is the most stable? A: arrangement a.

=====

Arrangement a

# KTlInPb

KTlInPb after structural relaxation (PBE, the Alexandria database).

a b c (Å): 8.0183 8.0183 8.0183
angles (deg): 90.00 90.00 90.00
With the nearest neighbours (Å) after each atom.
Space group F-43m (No. 216)
One atom of each set of equivalent atoms:
K1 0.0000 0.0000 0.0000 [4 per cell]  4 Tl 3.47, 4 In 3.47
Tl1 0.2500 0.2500 0.7500 [4 per cell]  4 Pb 3.47, 4 K 3.47
In1 0.2500 0.2500 0.2500 [4 per cell]  4 Pb 3.47, 4 K 3.47
Pb1 0.0000 0.0000 0.5000 [4 per cell]  4 In 3.47, 4 Tl 3.47

=====

Arrangement b

# KTlInPb

KTlInPb after structural relaxation (PBE, the Alexandria database).

a b c (Å): 5.6688 5.6786 8.1951
angles (deg): 90.00 90.00 90.00
With the nearest neighbours (Å) after each atom.
Space group Cmm2 (No. 35)
One atom of each set of equivalent atoms:
K1 0.0000 0.0000 0.0000 [2 per cell]  4 Tl 3.70, 4 Pb 3.76-3.77, 4 K 4.01, 2 In 4.06-4.14
Tl1 0.0000 0.5000 0.2893 [2 per cell]  4 In 3.30, 1 Pb 3.35
In1 0.0000 0.0000 0.4951 [2 per cell]  4 Pb 3.28-3.29, 4 Tl 3.30
Pb1 0.0000 0.5000 0.6976 [2 per cell]  4 In 3.28-3.29, 1 Tl 3.35

=====

Q: Which of them is the most stable? A: arrangement b.

=====

Arrangement a

# KIn3Pd

KIn3Pd after structural relaxation (PBE, the Alexandria database).

a b c (Å): 5.3051 5.3051 5.3051
angles (deg): 90.00 90.00 90.00
With the nearest neighbours (Å) after each atom.
Space group Pm-3m (No. 221)
One atom of each set of equivalent atoms:
K1 0.0000 0.0000 0.0000 [1 per cell]  12 In 3.75
In1 0.0000 0.5000 0.5000 [3 per cell]  2 Pd 2.65
Pd1 0.5000 0.5000 0.5000 [1 per cell]  6 In 2.65

=====

Arrangement b

# KIn3Pd

KIn3Pd after structural relaxation (PBE, the Alexandria database).

a b c (Å): 5.9160 5.9160 5.9160
angles (deg): 90.00 90.00 90.00
With the nearest neighbours (Å) after each atom.
Space group Pm-3m (No. 221)
One atom of each set of equivalent atoms:
K1 0.0000 0.0000 0.0000 [1 per cell]  6 In 2.96
In1 0.0000 0.0000 0.5000 [3 per cell]  2 K 2.96
Pd1 0.5000 0.5000 0.5000 [1 per cell]  12 In 4.18

=====

Arrangement c

# KIn3Pd

KIn3Pd after structural relaxation (PBE, the Alexandria database).

a b c (Å): 12.5018 7.3667 7.4193
angles (deg): 90.00 123.95 90.00
With the nearest neighbours (Å) after each atom.
Space group Cm (No. 8)
One atom of each set of equivalent atoms:
K1 0.0000 0.0000 0.0000 [2 per cell]  9 In 3.60-3.91, 1 K 3.61, 2 Pd 3.96
K2 0.0890 0.0000 0.5545 [2 per cell]  2 K 3.61-4.03, 9 In 3.62-3.89
In1 0.1352 0.5000 0.6036 [2 per cell]  2 Pd 2.68-2.70
In2 0.2504 0.2833 0.0515 [4 per cell]  2 Pd 2.80-2.86, 2 In 2.98-3.04
In3 0.3449 0.2093 0.5218 [4 per cell]  2 Pd 2.66-2.67
In4 0.4322 0.0000 0.0879 [2 per cell]  2 Pd 2.74-2.80, 2 In 2.98
Pd1 0.0291 0.5000 0.8354 [2 per cell]  6 In 2.67-2.80, 1 Pd 2.97
Pd2 0.2016 0.5000 0.3174 [2 per cell]  6 In 2.66-2.86, 1 Pd 2.97

=====

Q: Which of them is the most stable? A: arrangement c.